This record from Alexandria via LeMat-Bulk describes an optimized crystal structure of Ac2HgP3Pd12. The functional is GGA-PBE.

a b c (Å): 8.6233 8.6233 17.0043
angles (deg): 90.00 90.00 120.00
Closest atoms and distances in Å follow each position.
Space group R-3m (No. 166, hexagonal axes)
Asymmetric unit:
Ac: 0.0000 0.0000 0.1074 x6  3 Pd 2.84
Hg: 0.0000 0.0000 0.5000 x3  6 Pd 2.68
P: 0.0000 0.5000 0.0000 x9  6 Pd 2.26-2.32
Pd: 0.0175 0.5087 0.8673 x18  1 P 2.26
Pd: 0.0532 0.5266 0.3226 x18  2 P 2.32

- N(E_F) (states/eV/f.u.) = 3.64
- ρ (Mg/m³) = 9.2
- E_tot (eV per atom) = -5.230
- crystal system = trigonal
- formation energy from the elements (eV per atom) = -0.3936

This record from Alexandria via LeMat-Bulk describes an optimized crystal structure of AcHgP2Pd5. The functional is GGA-PBE.

a b c (Å): 4.3636 4.3636 9.8163
angles (deg): 90.00 90.00 90.00
Closest atoms and distances in Å follow each position.
Space group P4/mmm (No. 123)
Asymmetric unit:
Ac: 0.0000 0.0000 0.0000 x1  4 Pd 3.09
Hg: 0.0000 0.0000 0.5000 x1  8 Pd 2.84
P: 0.5000 0.5000 0.2326 x2  5 Pd 2.28-2.32
Pd: 0.0000 0.5000 0.3144 x4  2 P 2.32
Pd: 0.5000 0.5000 0.0000 x1  2 P 2.28

- N(E_F) (states/eV/f.u.) = 6.55
- ρ (Mg/m³) = 9.1
- E_tot (eV per atom) = -5.100
- crystal system = tetragonal
- formation energy from the elements (eV per atom) = -0.5228

This record from Alexandria via LeMat-Bulk describes an optimized crystal structure of Ac2HgP3Pt12. The functional is GGA-PBE.

a b c (Å): 8.3423 8.3423 18.6253
angles (deg): 90.00 90.00 120.00
Closest atoms and distances in Å follow each position.
Space group R-3m (No. 166, hexagonal axes)
Asymmetric unit:
Ac: 0.0000 0.0000 0.1096 x6  6 Pt 2.99-3.14
Hg: 0.0000 0.0000 0.5000 x3  6 Pt 2.62
P: 0.0000 0.5000 0.0000 x9  6 Pt 2.29-2.32
Pt: 0.0115 0.5057 0.8773 x18  1 P 2.29
Pt: 0.0422 0.5211 0.3585 x18  2 P 2.32

- N(E_F) (states/eV/f.u.) = 7.67
- ρ (Mg/m³) = 13.7
- E_tot (eV per atom) = -5.790
- crystal system = trigonal
- formation energy from the elements (eV per atom) = -0.3875

This record from Alexandria via LeMat-Bulk describes an optimized crystal structure of Ac2HgP3Rh12. The functional is GGA-PBE.

a b c (Å): 8.4711 8.4711 16.2439
angles (deg): 90.00 90.00 120.00
Closest atoms and distances in Å follow each position.
Space group R-3m (No. 166, hexagonal axes)
Asymmetric unit:
Ac: 0.0000 0.0000 0.1052 x6  3 Rh 2.78
Hg: 0.0000 0.0000 0.5000 x3  6 Rh 2.59
P: 0.0000 0.5000 0.0000 x9  6 Rh 2.21-2.30
Rh: 0.0138 0.5069 0.8638 x18  1 P 2.21
Rh: 0.0567 0.5284 0.3572 x18  2 P 2.30

- N(E_F) (states/eV/f.u.) = 12.25
- ρ (Mg/m³) = 9.8
- E_tot (eV per atom) = -6.436
- crystal system = trigonal
- formation energy from the elements (eV per atom) = -0.1597

This record from Alexandria via LeMat-Bulk describes an optimized crystal structure of Ac3HgP2Rh9. The functional is GGA-PBE.

a b c (Å): 6.1080 6.1080 9.6106
angles (deg): 90.00 90.00 120.00
Closest atoms and distances in Å follow each position.
Space group P-3m1 (No. 164)
Asymmetric unit:
Ac: 0.0000 0.0000 0.0000 x1  12 Rh 3.05-3.07
Ac: 0.3333 0.6667 0.6655 x2  6 Rh 3.12
Hg: 0.0000 0.0000 0.5000 x1  6 Rh 2.74
P: 0.3333 0.6667 0.1539 x2  6 Rh 2.20-2.30
Rh: 0.0000 0.5000 0.0000 x3  2 P 2.30
Rh: 0.1543 0.3086 0.2710 x6  1 P 2.20

- N(E_F) (states/eV/f.u.) = 12.40
- ρ (Mg/m³) = 10.0
- E_tot (eV per atom) = -6.532
- crystal system = trigonal
- formation energy from the elements (eV per atom) = -0.5580

This record from Alexandria via LeMat-Bulk describes an optimized crystal structure of Ac4Hg2PS. The functional is GGA-PBE.

a b c (Å): 7.5353 4.3742 8.4991
angles (deg): 90.00 107.29 90.00
Closest atoms and distances in Å follow each position.
Space group P2/m (No. 10)
Asymmetric unit:
Ac: 0.2369 0.0000 0.2184 x2  2 P 3.07, 1 S 3.09, 3 Hg 3.38-3.41
Ac: 0.2578 0.5000 0.7812 x2  1 P 3.06, 2 S 3.09, 3 Hg 3.39-3.41
Hg: 0.0000 0.0000 0.5000 x1  6 Ac 3.38-3.39
Hg: 0.5000 0.5000 0.5000 x1  6 Ac 3.41
P: 0.0000 0.5000 0.0000 x1  6 Ac 3.06-3.07
S: 0.5000 0.0000 0.0000 x1  6 Ac 3.09

- N(E_F) (states/eV/f.u.) = 6.11
- ρ (Mg/m³) = 8.5
- E_tot (eV per atom) = -4.357
- crystal system = monoclinic
- uncorrected formation energy (eV/atom) = -1.04

This record from Alexandria via LeMat-Bulk describes an optimized crystal structure of Ac6Hg3P2S. The functional is GGA-PBE.

a b c (Å): 7.5504 13.0693 8.5469
angles (deg): 90.00 107.08 90.00
Closest atoms and distances in Å follow each position.
Space group C2/m (No. 12)
Asymmetric unit:
Ac: 0.2366 0.0000 0.2162 x4  2 P 3.07, 1 S 3.09, 3 Hg 3.41
Ac: 0.2408 0.3322 0.2188 x8  2 P 3.07-3.08, 1 S 3.10, 3 Hg 3.41-3.42
Hg: 0.0000 0.0000 0.5000 x2  6 Ac 3.41
Hg: 0.0000 0.3358 0.5000 x4  6 Ac 3.41-3.42
P: 0.0000 0.1671 0.0000 x4  6 Ac 3.07-3.08
S: 0.0000 0.5000 0.0000 x2  6 Ac 3.09-3.10

- N(E_F) (states/eV/f.u.) = 11.65
- ρ (Mg/m³) = 8.5
- E_tot (eV per atom) = -4.368
- crystal system = monoclinic
- uncorrected formation energy (eV/atom) = -0.99

This record from Alexandria via LeMat-Bulk describes an optimized crystal structure of Ac4HgPSe2. The functional is GGA-PBE.

a b c (Å): 7.8630 4.4620 7.9584
angles (deg): 90.00 108.92 90.00
Closest atoms and distances in Å follow each position.
Space group P2/m (No. 10)
Asymmetric unit:
Ac: 0.2413 0.0000 0.2358 x2  2 P 3.13, 3 Se 3.18-3.28, 1 Hg 3.26
Ac: 0.2491 0.5000 0.7598 x2  1 P 3.15, 3 Se 3.17-3.29, 2 Hg 3.23
Hg: 0.0000 0.0000 0.5000 x1  6 Ac 3.23-3.26
P: 0.0000 0.5000 0.0000 x1  6 Ac 3.13-3.15
Se: 0.5000 0.0000 0.0000 x1  6 Ac 3.17-3.18
Se: 0.5000 0.5000 0.5000 x1  6 Ac 3.28-3.29

- N(E_F) (states/eV/f.u.) = 6.79
- ρ (Mg/m³) = 8.2
- E_tot (eV per atom) = -5.017
- crystal system = monoclinic
- uncorrected formation energy (eV/atom) = -1.38

This record from Alexandria via LeMat-Bulk describes an optimized crystal structure of Ac4HgTe2P. The functional is GGA-PBE.

a b c (Å): 8.1700 4.5442 8.1830
angles (deg): 90.00 108.42 90.00
Closest atoms and distances in Å follow each position.
Space group P2/m (No. 10)
Asymmetric unit:
Ac: 0.2289 0.0000 0.2241 x2  2 P 3.14, 1 Hg 3.29, 3 Te 3.36-3.46
Ac: 0.2470 0.5000 0.7676 x2  1 P 3.18, 2 Hg 3.25, 3 Te 3.35-3.45
Hg: 0.5000 0.0000 0.0000 x1  6 Ac 3.25-3.29
Te: 0.0000 0.0000 0.5000 x1  6 Ac 3.35-3.36
Te: 0.5000 0.5000 0.5000 x1  6 Ac 3.45-3.46
P: 0.0000 0.5000 0.0000 x1  6 Ac 3.14-3.18

- N(E_F) (states/eV/f.u.) = 6.74
- ρ (Mg/m³) = 8.0
- E_tot (eV per atom) = -4.768
- crystal system = monoclinic
- uncorrected formation energy (eV/atom) = -1.21

This record from Alexandria via LeMat-Bulk describes an optimized crystal structure of AcPaHg. The functional is GGA-PBE.

a b c (Å): 3.8475 3.8475 12.3872
angles (deg): 90.00 90.00 90.00
Closest atoms and distances in Å follow each position.
Space group P4/nmm (No. 129, origin choice 2)
Asymmetric unit:
Ac: 0.2500 0.2500 0.2365 x2  5 Hg 3.44-3.76, 5 Pa 3.82-3.85, 4 Ac 3.85
Pa: 0.2500 0.2500 0.5473 x2  4 Pa 2.96
Hg: 0.2500 0.2500 0.9330 x2  4 Hg 3.19, 4 Ac 3.44

- N(E_F) (states/eV/f.u.) = 6.45
- ρ (Mg/m³) = 11.9
- E_tot (eV per atom) = -4.619
- crystal system = tetragonal
- formation energy from the elements (eV per atom) = 0.0167